1.
Compound: Li2CaNiN
Source: Alexandria
Functional: GGA-PBE
Structure: relaxed

Results
Size of the total moment: 0.63 μB per cell
Raw formation energy: -0.09 eV per atom
SG: P4/mmm, No. 123
DFT total energy: -20.39 eV/f.u.

Cell and atoms, written as extended XYZ:
```
5
Lattice="-3.556 0.866 -2.156 -0.967 -4.135 -0.066 -1.882 0.388 3.260" Properties=species:S:1:pos:R:3 pbc="T T T"
Ni -0.941 0.194 1.630
Ca -3.202 -1.440 0.519
Li -0.484 -2.068 -0.033
Li -1.778 0.433 -1.078
N 0.000 0.000 0.000
```

2.
Compound: LiCaNp2N4
Source: Alexandria
Functional: GGA-PBE
Structure: relaxed

Results
Size of the total moment: 10.00 μB per cell
Raw formation energy: -1.04 eV per atom
SG: Cmcm, No. 63
DFT total energy: -71.44 eV/f.u.

Cell and atoms, written as extended XYZ:
```
16
Lattice="3.501 0.000 0.000 -1.751 5.576 0.000 0.000 0.000 11.223" Properties=species:S:1:pos:R:3 pbc="T T T"
Li 1.751 3.716 8.418
Li 0.000 1.860 2.806
Ca 0.000 1.095 8.418
Ca 1.751 4.481 2.806
Np 0.000 4.136 6.278
Np 1.751 1.440 0.667
Np 1.751 1.440 4.945
Np 0.000 4.136 10.557
N 0.000 2.853 1.141
N 1.751 2.723 6.753
N 1.751 2.723 10.082
N 0.000 2.853 4.471
N 0.000 0.000 5.612
N 0.000 0.000 0.000
N 0.000 4.858 8.418
N 1.751 0.718 2.806
```

3.
Compound: Li2Ca2NpN4
Source: Alexandria
Functional: GGA-PBE
Structure: relaxed

Results
Size of the total moment: 1.00 μB per cell
Raw formation energy: -0.85 eV per atom
SG: C2/m, No. 12
DFT total energy: -61.75 eV/f.u.

Cell and atoms, written as extended XYZ:
```
9
Lattice="-1.595 -2.761 1.252 5.945 -0.459 1.875 -3.358 3.546 3.543" Properties=species:S:1:pos:R:3 pbc="T T T"
Li 3.214 -1.111 1.644
Li -2.222 1.437 5.026
Ca 1.385 -1.137 3.942
Ca -0.393 1.464 2.728
Np 0.000 0.000 0.000
N -0.411 0.385 5.012
N 1.404 -0.059 1.657
N 4.292 -0.997 3.266
N -3.299 1.324 3.404
```

4.
Compound: LiCaNp4N8
Source: Alexandria
Functional: GGA-PBE
Structure: relaxed

Results
Size of the total moment: 7.00 μB per cell
Raw formation energy: -0.92 eV per atom
SG: R3m, No. 160
DFT total energy: -135.22 eV/f.u.

Cell and atoms, written as extended XYZ:
```
14
Lattice="6.882 0.000 0.000 3.441 5.960 0.000 3.441 1.987 5.113" Properties=species:S:1:pos:R:3 pbc="T T T"
Li 3.441 1.987 5.092
Ca 6.882 3.973 4.338
Np 6.882 3.973 0.867
Np 3.441 3.956 2.567
Np 5.147 1.002 2.567
Np 1.736 1.002 2.567
N 6.882 6.223 3.562
N 8.831 2.849 3.562
N 4.934 2.849 3.562
N 3.441 1.987 1.546
N 6.882 1.813 1.464
N 5.012 5.054 1.464
N 8.753 5.054 1.464
N 10.323 5.960 3.723
```

5.
Compound: LiCa4Np3N8
Source: Alexandria
Functional: GGA-PBE
Structure: relaxed

Results
Size of the total moment: 6.00 μB per cell
Raw formation energy: -1.08 eV per atom
SG: R-3m, No. 166
DFT total energy: -132.57 eV/f.u.

Cell and atoms, written as extended XYZ:
```
16
Lattice="-2.063 -3.112 5.777 3.981 -5.419 -1.497 2.741 6.303 0.279" Properties=species:S:1:pos:R:3 pbc="T T T"
Li 1.991 -2.709 -0.748
Ca -1.032 -1.556 2.889
Ca 0.339 1.596 3.028
Ca 0.000 0.000 0.000
Ca 1.371 3.152 0.139
Np 0.959 -4.265 2.140
Np 2.330 -1.114 2.280
Np 3.361 0.442 -0.609
N 4.943 1.413 0.656
N 3.692 -1.466 0.529
N 1.976 0.963 1.225
N 4.001 -0.008 3.294
N 0.658 -2.219 1.265
N 2.683 -3.191 3.335
N 0.967 -0.762 4.030
N -0.284 -3.640 3.903
```

6.
Compound: LiCa2NpN4
Source: Alexandria
Functional: GGA-PBE
Structure: relaxed

Results
Size of the total moment: 0.00 μB per cell
Raw formation energy: -1.03 eV per atom
SG: I4/mmm, No. 139
DFT total energy: -60.43 eV/f.u.

Cell and atoms, written as extended XYZ:
```
8
Lattice="-2.742 -3.385 -1.445 3.302 -1.467 -2.829 1.571 -0.683 5.910" Properties=species:S:1:pos:R:3 pbc="T T T"
Li 0.245 -2.121 -1.868
Ca 2.542 -1.983 0.740
Ca -0.480 -2.942 1.433
Np 2.096 -5.231 1.904
N 0.445 -4.497 3.319
N 3.467 -3.538 2.626
N 0.659 -0.861 1.683
N 1.402 -4.065 0.490
```

7.
Compound: LiCaNpN3
Source: Alexandria
Functional: GGA-PBE
Structure: relaxed

Results
Size of the total moment: 2.00 μB per cell
Raw formation energy: -0.97 eV per atom
SG: P2_1/m, No. 11
DFT total energy: -47.65 eV/f.u.

Cell and atoms, written as extended XYZ:
```
12
Lattice="3.547 0.000 0.000 0.000 8.344 0.490 0.000 -1.682 5.762" Properties=species:S:1:pos:R:3 pbc="T T T"
Li 0.887 -0.691 3.808
Li 2.660 7.352 2.444
Ca 0.887 1.965 2.272
Ca 2.660 4.696 3.980
Np 0.887 5.404 1.066
Np 2.660 1.258 5.186
N 2.660 6.495 0.601
N 0.887 0.166 5.651
N 0.887 6.053 2.966
N 2.660 0.609 3.286
N 2.660 3.849 1.446
N 0.887 2.812 4.806
```

8.
Compound: LiCaNp2N5
Source: Alexandria
Functional: GGA-PBE
Structure: relaxed

Results
Size of the total moment: 4.01 μB per cell
Raw formation energy: -0.81 eV per atom
SG: I4/mcm, No. 140
DFT total energy: -78.75 eV/f.u.

Cell and atoms, written as extended XYZ:
```
18
Lattice="6.327 0.000 0.000 0.000 6.327 0.000 -3.164 -3.164 5.545" Properties=species:S:1:pos:R:3 pbc="T T T"
Li 0.000 3.164 2.772
Li 3.164 0.000 2.772
Ca 0.000 0.000 2.772
Ca 3.164 3.164 2.772
Np 1.066 2.098 0.000
Np 4.229 1.066 0.000
Np 2.098 5.261 0.000
Np 5.261 4.229 0.000
N 5.337 2.173 1.351
N 2.173 -0.990 4.193
N -2.173 0.990 4.193
N -0.990 -2.173 4.193
N 0.990 2.173 4.193
N 4.154 5.337 1.351
N 2.173 0.990 1.351
N 0.990 4.154 1.351
N 3.164 3.164 0.000
N 0.000 0.000 0.000
```